<a>
Compound: K3BrF2
Source: the Alexandria database
Functional: PBE
Structure: relaxed

```
K3BrF2
1.0
5.981 -3.470 0.000
5.981 3.470 0.000
0.000 0.000 7.346
K Br F
6 2 4
Cartesian
5.981 3.339 5.510
3.134 1.639 1.837
3.134 -1.639 5.510
8.829 1.639 1.837
8.829 -1.639 5.510
5.981 -3.339 1.837
5.981 0.053 5.510
5.981 -0.053 1.837
1.995 0.000 0.000
1.995 0.000 3.673
9.968 0.000 0.000
9.968 0.000 3.673
```

Space group = Cmcm
Density = 2.6 g cm⁻³
Magnetic moment = 0.000 μB/atom
Crystal system = orthorhombic

***

<b>
Compound: K3BrF2
Source: the Alexandria database
Functional: PBE
Structure: relaxed

```
K3BrF2
1.0
4.331 0.000 0.000
0.000 13.706 0.000
0.000 0.000 5.341
K Br F
6 2 4
Cartesian
1.083 0.651 1.334
1.083 3.426 4.002
1.083 6.202 1.334
3.248 7.504 4.007
3.248 10.279 1.340
3.248 13.055 4.007
1.083 10.279 4.011
3.248 3.426 1.330
1.083 0.831 4.005
1.083 6.022 4.005
3.248 7.684 1.337
3.248 12.875 1.337
```

Space group = Pmmn
Density = 2.5 g cm⁻³
Magnetic moment = 0.000 μB/atom
Crystal system = orthorhombic

***

The least stable of them is <a>.

***

<a>
Compound: KBr3F
Source: the Alexandria database
Functional: PBE
Structure: relaxed

```
KBr3F
1.0
5.128 0.000 0.000
0.000 5.128 0.000
0.000 0.000 5.128
K Br F
1 3 1
Cartesian
0.000 0.000 0.000
0.000 2.564 2.564
2.564 0.000 2.564
2.564 2.564 0.000
2.564 2.564 2.564
```

Space group = Pm-3m
Density = 3.7 g cm⁻³
Magnetic moment = 0.000 μB/atom
Crystal system = cubic

***

<b>
Compound: KBr3F
Source: the Alexandria database
Functional: PBE
Structure: relaxed

```
KBr3F
1.0
6.381 0.000 0.000
0.000 6.381 0.000
0.000 0.000 6.381
K Br F
1 3 1
Cartesian
0.000 0.000 0.000
0.000 0.000 3.190
0.000 3.190 0.000
3.190 0.000 0.000
3.190 3.190 3.190
```

Space group = Pm-3m
Density = 1.9 g cm⁻³
Magnetic moment = 0.600 μB/atom
Crystal system = cubic

***

The least stable of them is <b>.

***

<a>
Compound: KBrF4
Source: the Alexandria database
Functional: PBE
Structure: relaxed

```
KBrF4
1.0
-3.022 3.022 6.288
3.022 -3.022 6.288
3.022 3.022 -6.288
K Br F
2 2 8
Cartesian
0.000 0.000 0.000
0.000 0.000 6.288
3.022 0.000 3.144
0.000 3.022 3.144
3.943 0.920 -1.570
0.920 2.102 -1.570
3.943 0.920 1.570
0.920 2.102 1.570
2.102 0.920 4.718
-0.920 2.102 4.718
2.102 0.920 7.858
-0.920 2.102 7.858
```

Space group = I4/mcm
Density = 2.8 g cm⁻³
Magnetic moment = 0.333 μB/atom
Crystal system = tetragonal

***

<b>
Compound: KBrF4
Source: the Alexandria database
Functional: PBE
Structure: relaxed

```
KBrF4
1.0
-3.294 3.294 3.076
3.294 -3.294 3.076
3.294 3.294 -3.076
K Br F
1 1 4
Cartesian
0.000 0.000 0.000
3.294 0.000 1.538
1.926 -1.369 1.538
4.663 -1.369 1.538
1.926 1.369 1.538
4.663 1.369 1.538
```

Space group = I-4m2
Density = 2.4 g cm⁻³
Magnetic moment = 0.000 μB/atom
Crystal system = tetragonal

***

<c>
Compound: KBrF4
Source: the Alexandria database
Functional: PBE
Structure: relaxed

```
KBrF4
1.0
-3.154 3.154 5.647
3.154 -3.154 5.647
3.154 3.154 -5.647
K Br F
2 2 8
Cartesian
0.000 0.000 2.823
0.000 0.000 8.470
3.154 0.000 0.000
0.000 3.154 0.000
4.123 0.969 -1.371
0.969 2.185 -1.371
4.123 0.969 1.371
0.969 2.185 1.371
2.185 0.969 4.276
-0.969 2.185 4.276
2.185 0.969 7.017
-0.969 2.185 7.017
```

Space group = I4/mcm
Density = 2.9 g cm⁻³
Magnetic moment = 0.000 μB/atom
Crystal system = tetragonal

***

The least stable of them is <a>.

***

<a>
Compound: KLiBrF
Source: the Alexandria database
Functional: PBE
Structure: relaxed

```
KLiBrF
1.0
2.086 1.204 6.386
-2.086 1.204 6.386
0.000 -2.409 6.386
K Li Br F
1 1 1 1
Cartesian
0.000 0.000 0.000
0.000 0.000 15.518
0.000 0.000 3.790
0.000 0.000 13.724
```

Space group = R3m
Density = 2.5 g cm⁻³
Magnetic moment = 0.000 μB/atom
Crystal system = trigonal

***

<b>
Compound: KLiBrF
Source: the Alexandria database
Functional: PBE
Structure: relaxed

```
KLiBrF
1.0
2.058 1.188 6.572
-2.058 1.188 6.572
0.000 -2.377 6.572
K Li Br F
1 1 1 1
Cartesian
0.000 0.000 0.000
0.000 0.000 15.994
0.000 0.000 10.501
0.000 0.000 14.194
```

Space group = R3m
Density = 2.5 g cm⁻³
Magnetic moment = 0.000 μB/atom
Crystal system = trigonal

***

The least stable of them is <b>.

***

<a>
Compound: KBrN2F
Source: the Alexandria database
Functional: PBE
Structure: relaxed

```
KBrN2F
1.0
3.898 0.000 0.000
0.000 3.898 0.000
0.000 0.000 5.623
K Br N F
1 1 2 1
Cartesian
0.000 0.000 0.000
1.949 1.949 2.811
0.000 1.949 2.811
1.949 0.000 2.811
1.949 1.949 0.000
```

Space group = P4/mmm
Density = 3.2 g cm⁻³
Magnetic moment = 0.197 μB/atom
Crystal system = tetragonal

***

<b>
Compound: KBrN2F
Source: the Alexandria database
Functional: PBE
Structure: relaxed

```
KBrN2F
1.0
5.825 0.000 0.000
0.000 5.825 0.000
0.000 0.000 4.778
K Br N F
1 1 2 1
Cartesian
0.000 0.000 0.000
2.912 2.912 2.389
0.000 2.912 0.000
2.912 0.000 0.000
0.000 0.000 2.389
```

Space group = P4/mmm
Density = 1.7 g cm⁻³
Magnetic moment = 0.997 μB/atom
Crystal system = tetragonal

***

The least stable of them is <b>.

***

<a>
Compound: KBrOF2
Source: the Alexandria database
Functional: PBE
Structure: relaxed

```
KBrOF2
1.0
4.810 0.000 0.000
0.000 4.810 0.000
0.000 0.000 3.781
K Br O F
1 1 1 2
Cartesian
0.000 0.000 0.000
2.405 2.405 1.890
2.405 2.405 0.000
0.000 2.405 1.890
2.405 0.000 1.890
```

Space group = P4/mmm
Density = 3.3 g cm⁻³
Magnetic moment = 0.000 μB/atom
Crystal system = tetragonal

***

<b>
Compound: KBrOF2
Source: the Alexandria database
Functional: PBE
Structure: relaxed

```
KBrOF2
1.0
4.858 0.000 0.000
0.000 4.858 0.000
0.000 0.000 5.075
K Br O F
1 1 1 2
Cartesian
0.000 0.000 0.000
2.429 2.429 2.538
0.000 0.000 2.538
0.000 2.429 0.000
2.429 0.000 0.000
```

Space group = P4/mmm
Density = 2.4 g cm⁻³
Magnetic moment = 0.381 μB/atom
Crystal system = tetragonal

***

The least stable of them is <b>.